## K2ScTc (PBE-GGA)

Data for a relaxed structure of K2ScTc.

```
data_K2ScTc
_symmetry_space_group_name_H-M 'P 1'
_symmetry_Int_Tables_number 1
_cell_length_a 12.866
_cell_length_b 12.866
_cell_length_c 12.866
_cell_angle_alpha 13.76
_cell_angle_beta 13.76
_cell_angle_gamma 13.76
loop_
_symmetry_equiv_pos_as_xyz
'x,y,z'
loop_
_atom_site_label
_atom_site_type_symbol
_atom_site_fract_x
_atom_site_fract_y
_atom_site_fract_z
K1 K 0.242 0.242 0.242
K2 K 0.758 0.758 0.758
Sc1 Sc 0.000 0.000 0.000
Tc1 Tc 0.500 0.500 0.500
```

Properties
Distance to the lowest polymorph of the same formula = 671 meV per atom
Energy relative to the elements = 1.222 eV/atom
SG = R-3m (166)
E = -3.501 eV per atom

## KSc2Tc (PBE-GGA)

Data for a relaxed structure of KSc2Tc.

```
data_KSc2Tc
_symmetry_space_group_name_H-M 'P 1'
_symmetry_Int_Tables_number 1
_cell_length_a 4.887
_cell_length_b 4.887
_cell_length_c 8.564
_cell_angle_alpha 105.77
_cell_angle_beta 105.77
_cell_angle_gamma 40.36
loop_
_symmetry_equiv_pos_as_xyz
'x,y,z'
loop_
_atom_site_label
_atom_site_type_symbol
_atom_site_fract_x
_atom_site_fract_y
_atom_site_fract_z
K1 K 0.000 0.000 0.000
Sc1 Sc 0.642 0.642 0.646
Sc2 Sc 0.844 0.844 0.392
Tc1 Tc 0.358 0.358 0.617
```

Properties
Energy relative to the elements = 0.422 eV/atom
SG = Cm (8)
E = -5.609 eV per atom

## KScTc3 (PBE-GGA)

Data for a relaxed structure of KScTc3.

```
data_KScTc3
_symmetry_space_group_name_H-M 'P 1'
_symmetry_Int_Tables_number 1
_cell_length_a 4.875
_cell_length_b 4.875
_cell_length_c 4.875
_cell_angle_alpha 90.00
_cell_angle_beta 90.00
_cell_angle_gamma 90.00
loop_
_symmetry_equiv_pos_as_xyz
'x,y,z'
loop_
_atom_site_label
_atom_site_type_symbol
_atom_site_fract_x
_atom_site_fract_y
_atom_site_fract_z
K1 K 0.000 0.000 0.000
Sc1 Sc 0.500 0.500 0.500
Tc1 Tc 0.000 0.500 0.500
Tc2 Tc 0.500 0.000 0.500
Tc3 Tc 0.500 0.500 0.000
```

Properties
Distance to the lowest polymorph of the same formula = 0 meV per atom
Energy relative to the elements = 1.921 eV/atom
SG = Pm-3m (221)
E = -5.784 eV per atom

## KSc2Tc (PBE-GGA)

Data for a relaxed structure of KSc2Tc.

```
data_KSc2Tc
_symmetry_space_group_name_H-M 'P 1'
_symmetry_Int_Tables_number 1
_cell_length_a 5.034
_cell_length_b 5.034
_cell_length_c 5.034
_cell_angle_alpha 60.00
_cell_angle_beta 60.00
_cell_angle_gamma 60.00
loop_
_symmetry_equiv_pos_as_xyz
'x,y,z'
loop_
_atom_site_label
_atom_site_type_symbol
_atom_site_fract_x
_atom_site_fract_y
_atom_site_fract_z
K1 K 0.000 0.000 0.000
Sc1 Sc 0.500 0.500 0.500
Sc2 Sc 0.750 0.750 0.750
Tc1 Tc 0.250 0.250 0.250
```

Properties
Energy relative to the elements = 0.964 eV/atom
SG = F-43m (216)
E = -5.067 eV per atom

## KScTc2 (PBE-GGA)

Data for a relaxed structure of KScTc2.

```
data_KScTc2
_symmetry_space_group_name_H-M 'P 1'
_symmetry_Int_Tables_number 1
_cell_length_a 4.729
_cell_length_b 4.729
_cell_length_c 4.729
_cell_angle_alpha 60.00
_cell_angle_beta 60.00
_cell_angle_gamma 60.00
loop_
_symmetry_equiv_pos_as_xyz
'x,y,z'
loop_
_atom_site_label
_atom_site_type_symbol
_atom_site_fract_x
_atom_site_fract_y
_atom_site_fract_z
K1 K 0.000 0.000 0.000
Sc1 Sc 0.750 0.750 0.750
Tc1 Tc 0.250 0.250 0.250
Tc2 Tc 0.500 0.500 0.500
```

Properties
Distance to the lowest polymorph of the same formula = 661 meV per atom
Energy relative to the elements = 1.039 eV/atom
SG = F-43m (216)
E = -6.001 eV per atom

## K2ScTc (PBE-GGA)

Data for a relaxed structure of K2ScTc.

```
data_K2ScTc
_symmetry_space_group_name_H-M 'P 1'
_symmetry_Int_Tables_number 1
_cell_length_a 4.123
_cell_length_b 4.123
_cell_length_c 6.288
_cell_angle_alpha 90.00
_cell_angle_beta 90.00
_cell_angle_gamma 90.00
loop_
_symmetry_equiv_pos_as_xyz
'x,y,z'
loop_
_atom_site_label
_atom_site_type_symbol
_atom_site_fract_x
_atom_site_fract_y
_atom_site_fract_z
K1 K 0.000 0.500 0.000
K2 K 0.500 0.000 0.000
Sc1 Sc 0.000 0.000 0.500
Tc1 Tc 0.500 0.500 0.500
```

Properties
Distance to the lowest polymorph of the same formula = 567 meV per atom
Energy relative to the elements = 1.118 eV/atom
SG = P4/mmm (123)
E = -3.605 eV per atom

## KScTc2 (PBE-GGA)

Data for a relaxed structure of KScTc2.

```
data_KScTc2
_symmetry_space_group_name_H-M 'P 1'
_symmetry_Int_Tables_number 1
_cell_length_a 2.907
_cell_length_b 2.907
_cell_length_c 10.630
_cell_angle_alpha 90.00
_cell_angle_beta 90.00
_cell_angle_gamma 111.63
loop_
_symmetry_equiv_pos_as_xyz
'x,y,z'
loop_
_atom_site_label
_atom_site_type_symbol
_atom_site_fract_x
_atom_site_fract_y
_atom_site_fract_z
K1 K 0.000 0.000 0.000
Sc1 Sc 0.500 0.500 0.337
Tc1 Tc 0.000 0.000 0.540
Tc2 Tc 0.500 0.500 0.721
```

Properties
Distance to the lowest polymorph of the same formula = 272 meV per atom
Energy relative to the elements = 0.650 eV/atom
SG = Cmm2 (35)
E = -6.390 eV per atom

## KSc2Tc (PBE-GGA)

Data for a relaxed structure of KSc2Tc.

```
data_KSc2Tc
_symmetry_space_group_name_H-M 'P 1'
_symmetry_Int_Tables_number 1
_cell_length_a 9.076
_cell_length_b 9.076
_cell_length_c 9.076
_cell_angle_alpha 159.08
_cell_angle_beta 152.66
_cell_angle_gamma 34.67
loop_
_symmetry_equiv_pos_as_xyz
'x,y,z'
loop_
_atom_site_label
_atom_site_type_symbol
_atom_site_fract_x
_atom_site_fract_y
_atom_site_fract_z
K1 K 0.000 0.000 0.000
Sc1 Sc 0.325 0.825 0.500
Sc2 Sc 0.691 0.691 0.000
Tc1 Tc 0.805 0.305 0.500
```

Properties
Energy relative to the elements = 0.381 eV/atom
SG = Imm2 (44)
E = -5.651 eV per atom

## KScTc2 (PBE-GGA)

Data for a relaxed structure of KScTc2.

```
data_KScTc2
_symmetry_space_group_name_H-M 'P 1'
_symmetry_Int_Tables_number 1
_cell_length_a 7.388
_cell_length_b 7.388
_cell_length_c 7.388
_cell_angle_alpha 152.07
_cell_angle_beta 142.55
_cell_angle_gamma 47.36
loop_
_symmetry_equiv_pos_as_xyz
'x,y,z'
loop_
_atom_site_label
_atom_site_type_symbol
_atom_site_fract_x
_atom_site_fract_y
_atom_site_fract_z
K1 K 0.000 0.000 0.000
Sc1 Sc 0.739 0.239 0.500
Tc1 Tc 0.236 0.736 0.500
Tc2 Tc 0.343 0.343 0.000
```

Properties
Distance to the lowest polymorph of the same formula = 270 meV per atom
Energy relative to the elements = 0.648 eV/atom
SG = Imm2 (44)
E = -6.392 eV per atom

## K2ScTc2 (PBE-GGA)

Data for a relaxed structure of K2ScTc2.

```
data_K2ScTc2
_symmetry_space_group_name_H-M 'P 1'
_symmetry_Int_Tables_number 1
_cell_length_a 8.291
_cell_length_b 8.291
_cell_length_c 8.291
_cell_angle_alpha 152.05
_cell_angle_beta 152.05
_cell_angle_gamma 39.94
loop_
_symmetry_equiv_pos_as_xyz
'x,y,z'
loop_
_atom_site_label
_atom_site_type_symbol
_atom_site_fract_x
_atom_site_fract_y
_atom_site_fract_z
K1 K 0.250 0.750 0.500
K2 K 0.750 0.250 0.500
Sc1 Sc 0.000 0.000 0.000
Tc1 Tc 0.430 0.430 0.000
Tc2 Tc 0.570 0.570 0.000
```

Properties
Distance to the lowest polymorph of the same formula = 0 meV per atom
Energy relative to the elements = 1.107 eV/atom
SG = I4/mmm (139)
E = -4.745 eV per atom

## K4ScTe (PBE-GGA)

Data for a relaxed structure of K4ScTe.

```
data_K4ScTe
_symmetry_space_group_name_H-M 'P 1'
_symmetry_Int_Tables_number 1
_cell_length_a 7.263
_cell_length_b 7.263
_cell_length_c 7.263
_cell_angle_alpha 60.00
_cell_angle_beta 60.00
_cell_angle_gamma 60.00
loop_
_symmetry_equiv_pos_as_xyz
'x,y,z'
loop_
_atom_site_label
_atom_site_type_symbol
_atom_site_fract_x
_atom_site_fract_y
_atom_site_fract_z
K1 K 0.377 0.377 0.377
K2 K 0.377 0.377 0.869
K3 K 0.377 0.869 0.377
K4 K 0.869 0.377 0.377
Sc1 Sc 0.000 0.000 0.000
Te1 Te 0.750 0.750 0.750
```

Properties
Formation energy (no corrections) = 2.1 eV per formula unit
SG = F-43m (216)
E = -1.966 eV per atom

## K2ScTe (PBE-GGA)

Data for a relaxed structure of K2ScTe.

```
data_K2ScTe
_symmetry_space_group_name_H-M 'P 1'
_symmetry_Int_Tables_number 1
_cell_length_a 10.826
_cell_length_b 10.826
_cell_length_c 10.826
_cell_angle_alpha 158.40
_cell_angle_beta 157.49
_cell_angle_gamma 31.39
loop_
_symmetry_equiv_pos_as_xyz
'x,y,z'
loop_
_atom_site_label
_atom_site_type_symbol
_atom_site_fract_x
_atom_site_fract_y
_atom_site_fract_z
K1 K 0.159 0.159 0.000
K2 K 0.841 0.841 0.000
Sc1 Sc 0.500 0.000 0.500
Te1 Te 0.000 0.500 0.500
```

Properties
Formation energy (no corrections) = -1.5 eV per formula unit
SG = Immm (71)
E = -3.287 eV per atom